First-principles (PBE) data for a relaxed LiCSe crystal, as listed in Alexandria via LeMat-Bulk.

Calculated values
* D(E_F): 0.0000 states/eV/atom
* energy above the most stable polymorph in this dataset: 0 meV/atom
* formation energy without anion corrections: -90 meV per atom
* total DFT energy (no corrections): -4.96 eV per atom

Unit cell a=4.494 b=4.513 c=7.322 alpha=96.57 beta=92.00 gamma=119.31
Sites, in units of the cell vectors:
C: 0.935 0.381 0.434
Li: 0.129 0.794 0.257
Se: 0.775 0.098 0.208
Li: 0.871 0.206 0.743
Se: 0.225 0.902 0.792
C: 0.065 0.619 0.566